LaPrTeO2 | PBE | optimized geometry

Cell lengths 7.0880, 7.0880, 7.0880 Å; angles 146.47, 146.47, 48.15 degrees
With the nearest neighbours (Å) after each atom.
Sites, in units of the cell vectors:
1 La 0.0000 0.0000 0.0000  4 O 2.37
2 Pr 0.6842 0.6842 0.0000  4 O 2.37
3 Te 0.3418 0.3418 0.0000  4 Pr 3.54, 4 La 3.54, 8 O 3.82-3.83
4 O 0.0921 0.5921 0.5000  2 La 2.37, 2 Pr 2.37
5 O 0.5921 0.0921 0.5000  2 La 2.37, 2 Pr 2.37

Properties
Polymorph energy (0 for the lowest one) = 0.0000 eV per atom
Calculated volume = 21.65 Å³ per atom